Entry 1:
{"formula": "CsInCuO2", "functional": "PBE-GGA", "state": "optimized geometry", "lattice_angstrom": [[5.090, 0.000, 0.000], [0.000, 6.465, 0.000], [0.000, -3.233, 6.673]], "species": ["Cs", "Cs", "In", "In", "Cu", "Cu", "O", "O", "O", "O"], "frac_coords": [[0.223, 0.750, 0.500], [0.777, 0.250, 0.500], [0.500, 0.750, 0.000], [0.500, 0.250, 0.000], [0.000, 0.000, 0.000], [0.000, 0.500, 0.000], [0.713, 0.911, 0.822], [0.713, 0.589, 0.178], [0.287, 0.411, 0.822], [0.287, 0.089, 0.178]], "raw_formation_energy_ev_per_atom": -0.904}

=====

Entry 2:
{"formula": "KTlBi3", "functional": "PBE-GGA", "state": "optimized geometry", "lattice_angstrom": [[-3.512, 0.658, 4.870], [4.702, -1.291, 3.565], [1.429, 5.864, 0.239]], "species": ["K", "Tl", "Bi", "Bi", "Bi"], "frac_coords": [[0.000, 0.000, 0.000], [0.500, 0.500, 0.500], [0.000, 0.500, 0.000], [0.000, 0.000, 0.500], [0.500, 0.000, 0.000]], "formation_energy_ev_per_atom": 0.85}

=====

VASP energy for every record listed, in sequence, given in hartree per atom: -0.16261, -0.07997.
Spin magnetization for every record listed, in sequence, given in μB/atom: 0.000, 0.000.